NpMn2GaO6 | GGA+U | relaxed

## Properties
The calculation puts the total energy at -237.2 eV/cell. The density of states at the Fermi level is 21.82 states/eV per cell.

```
data_NpMn2GaO6
_chemical_formula_sum 'Np3 Mn6 Ga3 O18'
_cell_length_a 5.3376
_cell_length_b 5.3376
_cell_length_c 14.5017
_cell_angle_alpha 90.00
_cell_angle_beta 90.00
_cell_angle_gamma 120.00
_symmetry_space_group_name_H-M 'R 3'
_symmetry_Int_Tables_number 146
_symmetry_space_group_name_Hall 'R 3'
loop_
_atom_site_label
_atom_site_type_symbol
_atom_site_fract_x
_atom_site_fract_y
_atom_site_fract_z
Np1 Np 0.0000 0.0000 0.0000
Mn1 Mn 0.0000 0.0000 0.3051
Mn2 Mn 0.0000 0.0000 0.7908
Ga1 Ga 0.0000 0.0000 0.5076
O1 O 0.0258 0.3396 0.5711
O2 O 0.0496 0.6778 0.0734
```